CeGaNiRu: relaxed, PBE-GGA.

Values from the calculation:
Size of the total moment ... 0.0000 μB per atom
Calculated total energy ... -25.34 eV for the cell shown
E_form ... -0.331 eV/atom

```
data_CeGaNiRu
_cell_length_a 4.569
_cell_length_b 4.569
_cell_length_c 4.569
_cell_angle_alpha 60.00
_cell_angle_beta 60.00
_cell_angle_gamma 60.00
_space_group_name_H-M_alt 'P 1'
_space_group_IT_number 1
_space_group_name_Hall 'P 1'
loop_
_atom_site_label
_atom_site_type_symbol
_atom_site_fract_x
_atom_site_fract_y
_atom_site_fract_z
Ni1 Ni 0.750 0.750 0.750
Ru1 Ru 0.250 0.250 0.250
Ga1 Ga 0.000 0.000 0.000
Ce1 Ce 0.500 0.500 0.500
```